# PBE AsP, relaxed
data_AsP
_chemical_formula_sum 'As1 P1'
_cell_length_a 3.226
_cell_length_b 3.226
_cell_length_c 3.226
_cell_angle_alpha 90.00
_cell_angle_beta 90.00
_cell_angle_gamma 90.00
_space_group_name_H-M_alt 'P m -3 m'
_space_group_IT_number 221
_space_group_name_Hall '-P 4 2 3'
loop_
_atom_site_label
_atom_site_fract_x
_atom_site_fract_y
_atom_site_fract_z
_atom_site_occupancy
As1 0.000 0.000 0.000 1
P1 0.500 0.500 0.500 1
# - Energy: -4.40 eV/atom
# - Energy above the most stable polymorph in this dataset: 574 meV per atom

***

# PBE AsP3, relaxed
data_AsP3
_chemical_formula_sum 'As1 P3'
_cell_length_a 4.785
_cell_length_b 4.785
_cell_length_c 4.785
_cell_angle_alpha 90.00
_cell_angle_beta 90.00
_cell_angle_gamma 90.00
_space_group_name_H-M_alt 'P m -3 m'
_space_group_IT_number 221
_space_group_name_Hall '-P 4 2 3'
loop_
_atom_site_label
_atom_site_fract_x
_atom_site_fract_y
_atom_site_fract_z
_atom_site_occupancy
As1 0.000 0.000 0.000 1
P1 0.000 0.000 0.500 1
# - Energy: -3.77 eV/atom
# - Energy above the most stable polymorph in this dataset: 1387 meV per atom

***

# PBE AsP, relaxed
data_AsP
_chemical_formula_sum 'As1 P1'
_cell_length_a 3.5102
_cell_length_b 3.5102
_cell_length_c 3.4013
_cell_angle_alpha 90.00
_cell_angle_beta 90.00
_cell_angle_gamma 120.00
_space_group_name_H-M_alt 'P -6 m 2'
_space_group_IT_number 187
_space_group_name_Hall 'P -6 2'
loop_
_atom_site_label
_atom_site_fract_x
_atom_site_fract_y
_atom_site_fract_z
_atom_site_occupancy
As1 0.0000 0.0000 0.0000 1
P1 0.3333 0.6667 0.5000 1
# - Energy: -4.65 eV/atom
# - Energy above the most stable polymorph in this dataset: 329 meV per atom

***

# PBE AsP3, relaxed
data_AsP3
_chemical_formula_sum 'As2 P6'
_cell_length_a 2.988
_cell_length_b 8.293
_cell_length_c 6.460
_cell_angle_alpha 90.00
_cell_angle_beta 90.00
_cell_angle_gamma 90.00
_space_group_name_H-M_alt 'I m m 2'
_space_group_IT_number 44
loop_
_space_group_symop_operation_xyz
'x,y,z'
'-x,-y,z'
'-x,y,z'
'x,-y,z'
'x+1/2,y+1/2,z+1/2'
'-x+1/2,-y+1/2,z+1/2'
'-x+1/2,y+1/2,z+1/2'
'x+1/2,-y+1/2,z+1/2'
loop_
_atom_site_label
_atom_site_fract_x
_atom_site_fract_y
_atom_site_fract_z
_atom_site_occupancy
As1 0.000 0.000 0.000 1
P1 0.000 0.166 0.691 1
P2 0.000 0.500 0.013 1
# - Energy: -4.80 eV/atom
# - Energy above the most stable polymorph in this dataset: 357 meV per atom

***

# PBE AsP, relaxed
data_AsP
_chemical_formula_sum 'As8 P8'
_cell_length_a 8.871
_cell_length_b 8.871
_cell_length_c 5.168
_cell_angle_alpha 90.00
_cell_angle_beta 90.00
_cell_angle_gamma 90.00
_space_group_name_H-M_alt 'P 4/m c c'
_space_group_IT_number 124
_space_group_name_Hall '-P 4 2c'
loop_
_atom_site_label
_atom_site_fract_x
_atom_site_fract_y
_atom_site_fract_z
_atom_site_occupancy
As1 0.118 0.342 0.000 1
P1 0.157 0.388 0.500 1
# - Energy: -4.73 eV/atom
# - Energy above the most stable polymorph in this dataset: 244 meV per atom

***

# PBE AsP3, relaxed
data_AsP3
_chemical_formula_sum 'As3 P9'
_cell_length_a 3.4717
_cell_length_b 3.4717
_cell_length_c 23.5659
_cell_angle_alpha 90.00
_cell_angle_beta 90.00
_cell_angle_gamma 120.00
_space_group_name_H-M_alt 'R 3 m'
_space_group_IT_number 160
_space_group_name_Hall 'R 3 -2"'
loop_
_atom_site_label
_atom_site_fract_x
_atom_site_fract_y
_atom_site_fract_z
_atom_site_occupancy
As1 0.0000 0.0000 0.0000 1
P1 0.0000 0.0000 0.1822 1
P2 0.0000 0.0000 0.3885 1
P3 0.0000 0.0000 0.8001 1
# - Energy: -5.15 eV/atom
# - Energy above the most stable polymorph in this dataset: 14 meV per atom

***

# PBE AsP3, relaxed
data_AsP3
_chemical_formula_sum 'As4 P12'
_cell_length_a 8.952
_cell_length_b 13.647
_cell_length_c 3.176
_cell_angle_alpha 90.00
_cell_angle_beta 90.00
_cell_angle_gamma 90.00
_space_group_name_H-M_alt 'C m c m'
_space_group_IT_number 63
_space_group_name_Hall '-C 2c 2'
loop_
_atom_site_label
_atom_site_fract_x
_atom_site_fract_y
_atom_site_fract_z
_atom_site_occupancy
As1 0.000 0.130 0.250 1
P1 0.000 0.356 0.750 1
P2 0.155 0.271 0.250 1
# - Energy: -4.90 eV/atom
# - Energy above the most stable polymorph in this dataset: 261 meV per atom

***

# PBE AsP3, relaxed
data_AsP3
_chemical_formula_sum 'As1 P3'
_cell_length_a 5.631
_cell_length_b 5.753
_cell_length_c 5.759
_cell_angle_alpha 118.04
_cell_angle_beta 108.91
_cell_angle_gamma 100.33
_space_group_name_H-M_alt 'P 1'
_space_group_IT_number 1
loop_
_space_group_symop_operation_xyz
'x,y,z'
loop_
_atom_site_label
_atom_site_fract_x
_atom_site_fract_y
_atom_site_fract_z
_atom_site_occupancy
As1 0.000 0.000 0.000 1
P1 0.264 0.963 0.755 1
P2 0.283 0.747 0.989 1
P3 0.478 0.219 0.247 1
# - Energy: -5.05 eV/atom
# - Energy above the most stable polymorph in this dataset: 106 meV per atom

***

# PBE AsP, relaxed
data_AsP
_chemical_formula_sum 'As6 P6'
_cell_length_a 3.5740
_cell_length_b 3.5740
_cell_length_c 23.2633
_cell_angle_alpha 90.00
_cell_angle_beta 90.00
_cell_angle_gamma 120.00
_space_group_name_H-M_alt 'R -3 m'
_space_group_IT_number 166
_space_group_name_Hall '-R 3 2"'
loop_
_atom_site_label
_atom_site_fract_x
_atom_site_fract_y
_atom_site_fract_z
_atom_site_occupancy
As1 0.0000 0.0000 0.0939 1
P1 0.0000 0.0000 0.3731 1
# - Energy: -4.98 eV/atom
# - Energy above the most stable polymorph in this dataset: 0 meV per atom

***

# PBE As3P4, relaxed
data_As3P4
_chemical_formula_sum 'As3 P4'
_cell_length_a 6.1506
_cell_length_b 6.1506
_cell_length_c 4.0942
_cell_angle_alpha 90.00
_cell_angle_beta 90.00
_cell_angle_gamma 120.00
_space_group_name_H-M_alt 'P 6/m m m'
_space_group_IT_number 191
_space_group_name_Hall '-P 6 2'
loop_
_atom_site_label
_atom_site_fract_x
_atom_site_fract_y
_atom_site_fract_z
_atom_site_occupancy
As1 0.0000 0.5000 0.0000 1
P1 0.0000 0.0000 0.2556 1
P2 0.3333 0.6667 0.5000 1
# - Energy: -4.31 eV/atom
# - Energy above the most stable polymorph in this dataset: 333 meV per atom

***

# PBE AsP4, relaxed
data_AsP4
_chemical_formula_sum 'As2 P8'
_cell_length_a 5.766
_cell_length_b 5.766
_cell_length_c 5.766
_cell_angle_alpha 90.00
_cell_angle_beta 90.00
_cell_angle_gamma 90.00
_space_group_name_H-M_alt 'I m -3 m'
_space_group_IT_number 229
_space_group_name_Hall '-I 4 2 3'
loop_
_atom_site_label
_atom_site_fract_x
_atom_site_fract_y
_atom_site_fract_z
_atom_site_occupancy
As1 0.000 0.000 0.000 1
P1 0.250 0.250 0.250 1
# - Energy: -4.35 eV/atom
# - Energy above the most stable polymorph in this dataset: 473 meV per atom

***

# PBE AsP, relaxed
data_AsP
_chemical_formula_sum 'As4 P4'
_cell_length_a 7.188
_cell_length_b 3.662
_cell_length_c 6.328
_cell_angle_alpha 90.00
_cell_angle_beta 107.35
_cell_angle_gamma 90.00
_space_group_name_H-M_alt 'C 1 2/m 1'
_space_group_IT_number 12
loop_
_space_group_symop_operation_xyz
'x,y,z'
'-x,-y,-z'
'-x,y,-z'
'x,-y,z'
'x+1/2,y+1/2,z'
'-x+1/2,-y+1/2,-z'
'-x+1/2,y+1/2,-z'
'x+1/2,-y+1/2,z'
loop_
_atom_site_label
_atom_site_fract_x
_atom_site_fract_y
_atom_site_fract_z
_atom_site_occupancy
As1 0.092 0.000 0.355 1
P1 0.085 0.500 0.874 1
# - Energy: -4.95 eV/atom
# - Energy above the most stable polymorph in this dataset: 23 meV per atom

***

# PBE AsP3, relaxed
data_AsP3
_chemical_formula_sum 'As1 P3'
_cell_length_a 3.974
_cell_length_b 3.974
_cell_length_c 3.974
_cell_angle_alpha 90.00
_cell_angle_beta 90.00
_cell_angle_gamma 90.00
_space_group_name_H-M_alt 'P m -3 m'
_space_group_IT_number 221
_space_group_name_Hall '-P 4 2 3'
loop_
_atom_site_label
_atom_site_fract_x
_atom_site_fract_y
_atom_site_fract_z
_atom_site_occupancy
As1 0.000 0.000 0.000 1
P1 0.000 0.500 0.500 1
# - Energy: -4.36 eV/atom
# - Energy above the most stable polymorph in this dataset: 801 meV per atom

***

# PBE AsP, relaxed
data_AsP
_chemical_formula_sum 'As2 P2'
_cell_length_a 4.418
_cell_length_b 4.418
_cell_length_c 4.691
_cell_angle_alpha 90.00
_cell_angle_beta 90.00
_cell_angle_gamma 90.00
_space_group_name_H-M_alt 'P 4/n m m'
_space_group_IT_number 129
loop_
_space_group_symop_operation_xyz
'x,y,z'
'-x,-y,-z'
'-y+1/2,x,z'
'y+1/2,-x,-z'
'-x+1/2,-y+1/2,z'
'x+1/2,y+1/2,-z'
'y,-x+1/2,z'
'-y,x+1/2,-z'
'x+1/2,-y,-z'
'-x+1/2,y,z'
'-y,-x,-z'
'y,x,z'
'-x,y+1/2,-z'
'x,-y+1/2,z'
'y+1/2,x+1/2,-z'
'-y+1/2,-x+1/2,z'
loop_
_atom_site_label
_atom_site_fract_x
_atom_site_fract_y
_atom_site_fract_z
_atom_site_occupancy
As1 0.250 0.250 0.248 1
P1 0.250 0.750 0.000 1
# - Energy: -4.70 eV/atom
# - Energy above the most stable polymorph in this dataset: 277 meV per atom

***

# PBE Pa4AsP3, relaxed
data_Pa4AsP3
_chemical_formula_sum 'Pa4 As1 P3'
_cell_length_a 5.660
_cell_length_b 5.660
_cell_length_c 5.660
_cell_angle_alpha 90.00
_cell_angle_beta 90.00
_cell_angle_gamma 90.00
_space_group_name_H-M_alt 'P m -3 m'
_space_group_IT_number 221
_space_group_name_Hall '-P 4 2 3'
loop_
_atom_site_label
_atom_site_fract_x
_atom_site_fract_y
_atom_site_fract_z
_atom_site_occupancy
Pa1 0.000 0.000 0.000 1
Pa2 0.000 0.500 0.500 1
As1 0.500 0.500 0.500 1
P1 0.000 0.000 0.500 1
# - Energy: -8.61 eV/atom

***

# PBE PaAsP, relaxed
data_PaAsP
_chemical_formula_sum 'Pa4 As4 P4'
_cell_length_a 3.944
_cell_length_b 3.944
_cell_length_c 15.871
_cell_angle_alpha 90.00
_cell_angle_beta 90.00
_cell_angle_gamma 90.00
_space_group_name_H-M_alt 'I 4/m m m'
_space_group_IT_number 139
_space_group_name_Hall '-I 4 2'
loop_
_atom_site_label
_atom_site_fract_x
_atom_site_fract_y
_atom_site_fract_z
_atom_site_occupancy
Pa1 0.000 0.000 0.144 1
As1 0.000 0.500 0.000 1
P1 0.000 0.000 0.319 1
# - Energy: -7.53 eV/atom
# - Energy above the most stable polymorph in this dataset: 0 meV per atom

***

# PBE PaAsP, relaxed
data_PaAsP
_chemical_formula_sum 'Pa2 As2 P2'
_cell_length_a 3.801
_cell_length_b 3.801
_cell_length_c 8.692
_cell_angle_alpha 90.00
_cell_angle_beta 90.00
_cell_angle_gamma 90.00
_space_group_name_H-M_alt 'I 4 m m'
_space_group_IT_number 107
_space_group_name_Hall 'I 4 -2'
loop_
_atom_site_label
_atom_site_fract_x
_atom_site_fract_y
_atom_site_fract_z
_atom_site_occupancy
Pa1 0.000 0.000 0.000 1
As1 0.000 0.000 0.350 1
P1 0.000 0.000 0.625 1
# - Energy: -7.26 eV/atom
# - Energy above the most stable polymorph in this dataset: 274 meV per atom

***

# PBE Pa2AsP3, relaxed
data_Pa2AsP3
_chemical_formula_sum 'Pa2 As1 P3'
_cell_length_a 3.898
_cell_length_b 3.898
_cell_length_c 7.907
_cell_angle_alpha 90.00
_cell_angle_beta 90.00
_cell_angle_gamma 90.00
_space_group_name_H-M_alt 'P -4 m 2'
_space_group_IT_number 115
loop_
_space_group_symop_operation_xyz
'x,y,z'
'y,-x,-z'
'-x,-y,z'
'-y,x,-z'
'-x,y,z'
'-y,-x,-z'
'x,-y,z'
'y,x,-z'
loop_
_atom_site_label
_atom_site_fract_x
_atom_site_fract_y
_atom_site_fract_z
_atom_site_occupancy
Pa1 0.000 0.500 0.214 1
As1 0.000 0.000 0.500 1
P1 0.000 0.500 0.858 1
P2 0.500 0.500 0.500 1
# - Energy: -7.68 eV/atom

***

# PBE PaAsP, relaxed
data_PaAsP
_chemical_formula_sum 'Pa1 As1 P1'
_cell_length_a 4.5097
_cell_length_b 4.5097
_cell_length_c 3.8482
_cell_angle_alpha 90.00
_cell_angle_beta 90.00
_cell_angle_gamma 120.00
_space_group_name_H-M_alt 'P 3 m 1'
_space_group_IT_number 156
loop_
_space_group_symop_operation_xyz
'x,y,z'
'-y,x-y,z'
'-x+y,-x,z'
'-y,-x,z'
'-x+y,y,z'
'x,x-y,z'
loop_
_atom_site_label
_atom_site_fract_x
_atom_site_fract_y
_atom_site_fract_z
_atom_site_occupancy
Pa1 0.0000 0.0000 0.0000 1
As1 0.6667 0.3333 0.4826 1
P1 0.3333 0.6667 0.9457 1
# - Energy: -6.95 eV/atom
# - Energy above the most stable polymorph in this dataset: 584 meV per atom

***

# PBE Pa5As5P2, relaxed
data_Pa5As5P2
_chemical_formula_sum 'Pa10 As10 P4'
_cell_length_a 13.432
_cell_length_b 4.036
_cell_length_c 11.474
_cell_angle_alpha 90.00
_cell_angle_beta 109.37
_cell_angle_gamma 90.00
_space_group_name_H-M_alt 'C 1 2/m 1'
_space_group_IT_number 12
loop_
_space_group_symop_operation_xyz
'x,y,z'
'-x,-y,-z'
'-x,y,-z'
'x,-y,z'
'x+1/2,y+1/2,z'
'-x+1/2,-y+1/2,-z'
'-x+1/2,y+1/2,-z'
'x+1/2,-y+1/2,z'
loop_
_atom_site_label
_atom_site_fract_x
_atom_site_fract_y
_atom_site_fract_z
_atom_site_occupancy
Pa1 0.000 0.000 0.000 1
Pa2 0.115 0.000 0.421 1
Pa3 0.189 0.500 0.795 1
As1 0.000 0.500 0.500 1
As2 0.161 0.500 0.050 1
As3 0.224 0.500 0.335 1
P1 0.049 0.000 0.790 1
# - Energy: -7.67 eV/atom

***

# PBE Pa5As4P, relaxed
data_Pa5As4P
_chemical_formula_sum 'Pa10 As8 P2'
_cell_length_a 9.098
_cell_length_b 9.098
_cell_length_c 5.760
_cell_angle_alpha 90.00
_cell_angle_beta 90.00
_cell_angle_gamma 90.00
_space_group_name_H-M_alt 'I 4/m'
_space_group_IT_number 87
_space_group_name_Hall '-I 4'
loop_
_atom_site_label
_atom_site_fract_x
_atom_site_fract_y
_atom_site_fract_z
_atom_site_occupancy
Pa1 0.000 0.000 0.000 1
Pa2 0.099 0.292 0.500 1
As1 0.097 0.302 0.000 1
P1 0.000 0.000 0.500 1
# - Energy: -8.26 eV/atom

***

# PBE Pa3As2P, relaxed
data_Pa3As2P
_chemical_formula_sum 'Pa6 As4 P2'
_cell_length_a 4.046
_cell_length_b 5.730
_cell_length_c 12.184
_cell_angle_alpha 90.00
_cell_angle_beta 90.00
_cell_angle_gamma 90.00
_space_group_name_H-M_alt 'I m m m'
_space_group_IT_number 71
_space_group_name_Hall '-I 2 2'
loop_
_atom_site_label
_atom_site_fract_x
_atom_site_fract_y
_atom_site_fract_z
_atom_site_occupancy
Pa1 0.000 0.000 0.000 1
Pa2 0.000 0.000 0.341 1
As1 0.000 0.500 0.330 1
P1 0.000 0.500 0.000 1
# - Energy: -8.35 eV/atom

***

# PBE PaAs2P, relaxed
data_PaAs2P
_chemical_formula_sum 'Pa1 As2 P1'
_cell_length_a 4.053
_cell_length_b 4.053
_cell_length_c 4.638
_cell_angle_alpha 90.00
_cell_angle_beta 90.00
_cell_angle_gamma 90.00
_space_group_name_H-M_alt 'P 4/m m m'
_space_group_IT_number 123
_space_group_name_Hall '-P 4 2'
loop_
_atom_site_label
_atom_site_fract_x
_atom_site_fract_y
_atom_site_fract_z
_atom_site_occupancy
Pa1 0.000 0.000 0.000 1
As1 0.000 0.500 0.500 1
P1 0.500 0.500 0.000 1
# - Energy: -6.65 eV/atom

***

# PBE Pa4As3P, relaxed
data_Pa4As3P
_chemical_formula_sum 'Pa8 As6 P2'
_cell_length_a 7.043
_cell_length_b 8.134
_cell_length_c 7.033
_cell_angle_alpha 90.00
_cell_angle_beta 109.50
_cell_angle_gamma 90.00
_space_group_name_H-M_alt 'P 1 2/c 1'
_space_group_IT_number 13
loop_
_space_group_symop_operation_xyz
'x,y,z'
'-x,-y,-z'
'-x,y,-z+1/2'
'x,-y,z+1/2'
loop_
_atom_site_label
_atom_site_fract_x
_atom_site_fract_y
_atom_site_fract_z
_atom_site_occupancy
Pa1 0.240 0.120 0.001 1
Pa2 0.245 0.370 0.495 1
As1 0.000 0.375 0.750 1
As2 0.500 0.125 0.750 1
As3 0.500 0.376 0.250 1
P1 0.000 0.125 0.250 1
# - Energy: -8.29 eV/atom

***

# PBE Pa4As5P, relaxed
data_Pa4As5P
_chemical_formula_sum 'Pa8 As10 P2'
_cell_length_a 15.375
_cell_length_b 4.373
_cell_length_c 7.216
_cell_angle_alpha 90.00
_cell_angle_beta 90.16
_cell_angle_gamma 90.00
_space_group_name_H-M_alt 'C 1 2/m 1'
_space_group_IT_number 12
loop_
_space_group_symop_operation_xyz
'x,y,z'
'-x,-y,-z'
'-x,y,-z'
'x,-y,z'
'x+1/2,y+1/2,z'
'-x+1/2,-y+1/2,-z'
'-x+1/2,y+1/2,-z'
'x+1/2,-y+1/2,z'
loop_
_atom_site_label
_atom_site_fract_x
_atom_site_fract_y
_atom_site_fract_z
_atom_site_occupancy
Pa1 0.007 0.000 0.257 1
Pa2 0.203 0.500 0.751 1
As1 0.000 0.500 0.000 1
As2 0.157 0.000 0.994 1
As3 0.158 0.000 0.507 1
P1 0.000 0.500 0.500 1
# - Energy: -7.47 eV/atom

***

# PBE PaAsP2, relaxed
data_PaAsP2
_chemical_formula_sum 'Pa1 As1 P2'
_cell_length_a 4.329
_cell_length_b 4.329
_cell_length_c 3.840
_cell_angle_alpha 90.00
_cell_angle_beta 90.00
_cell_angle_gamma 90.00
_space_group_name_H-M_alt 'P 4/m m m'
_space_group_IT_number 123
_space_group_name_Hall '-P 4 2'
loop_
_atom_site_label
_atom_site_fract_x
_atom_site_fract_y
_atom_site_fract_z
_atom_site_occupancy
Pa1 0.000 0.000 0.000 1
As1 0.500 0.500 0.000 1
P1 0.000 0.500 0.500 1
# - Energy: -6.84 eV/atom
# - Energy above the most stable polymorph in this dataset: 0 meV per atom